w.
CeSmZn2, optimized geometry, DFT PBE; magnetic moment = 0.7 μB per formula unit; N(E_F) = 7.94 states/eV per cell; space-group type = No. 123
1.0
3.606 0.000 0.000
0.000 3.606 0.000
0.000 0.000 7.368
Ce Sm Zn
1 1 2
direct
0.000 0.000 0.000
0.000 0.000 0.500
0.500 0.500 0.253
0.500 0.500 0.747



x.
CeSmZn2, optimized geometry, DFT PBE; magnetic moment = 1.0 μB per formula unit; N(E_F) = 6.58 states/eV per cell; space-group type = No. 166
1.0
1.769 1.022 9.394
-1.769 1.022 9.394
0.000 -2.043 9.394
Ce Sm Zn
1 1 2
direct
0.000 0.000 0.000
0.500 0.500 0.500
0.249 0.249 0.249
0.751 0.751 0.751



y.
CeSmZn2, optimized geometry, DFT PBE; magnetic moment = 1.2 μB per formula unit; N(E_F) = 8.95 states/eV per cell; space-group type = No. 225
1.0
0.000 3.637 3.637
3.637 0.000 3.637
3.637 3.637 0.000
Ce Sm Zn
1 1 2
direct
0.000 0.000 0.000
0.500 0.500 0.500
0.250 0.250 0.250
0.750 0.750 0.750



w is preferred energetically. Next in line: 0.7 kJ/mol of atoms higher.



w.
CeSm2Zr, optimized geometry, DFT PBE; magnetic moment = 0.4 μB per formula unit; N(E_F) = 6.42 states/eV per cell; space-group type = No. 123
1.0
4.894 0.000 0.000
0.000 4.894 0.000
0.000 0.000 4.924
Ce Sm Zr
1 2 1
direct
0.000 0.000 0.000
0.000 0.500 0.500
0.500 0.000 0.500
0.500 0.500 0.000



x.
CeSm2Zr, optimized geometry, DFT PBE; magnetic moment = 1.0 μB per formula unit; N(E_F) = 7.77 states/eV per cell; space-group type = No. 160
1.0
1.721 0.994 11.438
-1.721 0.994 11.438
0.000 -1.987 11.438
Ce Sm Zr
1 2 1
direct
0.000 0.000 0.000
0.245 0.245 0.245
0.421 0.421 0.421
0.833 0.833 0.833



y.
CeSm2Zr, optimized geometry, DFT PBE; magnetic moment = 0.8 μB per formula unit; N(E_F) = 10.63 states/eV per cell; space-group type = No. 123
1.0
4.061 0.000 0.000
0.000 4.061 0.000
0.000 0.000 7.198
Ce Sm Zr
1 2 1
direct
0.000 0.000 0.000
0.500 0.500 0.274
0.500 0.500 0.726
0.000 0.000 0.500



z.
CeSm2Zr, optimized geometry, DFT PBE; magnetic moment = 0.2 μB per formula unit; N(E_F) = 6.37 states/eV per cell; space-group type = No. 166
1.0
1.681 0.970 11.979
-1.681 0.970 11.979
0.000 -1.941 11.979
Ce Sm Zr
1 2 1
direct
0.000 0.000 0.000
0.413 0.413 0.413
0.587 0.587 0.587
0.500 0.500 0.500



x is preferred energetically. Next in line: 0.7 kJ/mol of atoms higher.